Entry 1:
A plane-wave DFT calculation with PBE was carried out for a geometry-optimized Zr4TcNi3 structure.

## Properties
Crystal system   trigonal
Formation energy from the elements   -279 kJ/mol of formula units
Space group   R-3m, No. 166

```
Zr4TcNi3
1.0
2.298 1.327 7.437
-2.298 1.327 7.437
0.000 -2.654 7.437
Zr Tc Ni
4 1 3
Cartesian
0.000 0.000 2.764
0.000 0.000 8.350
0.000 0.000 13.962
0.000 0.000 19.548
0.000 0.000 11.156
0.000 0.000 0.000
0.000 0.000 5.528
0.000 0.000 16.784
```


Entry 2:
A plane-wave DFT calculation with PBE was carried out for a geometry-optimized ZrTc2Ni structure.

## Properties
Crystal system   orthorhombic
Formation energy from the elements   57 kJ/mol of formula units
Space group   Cmmm, No. 65

```
ZrTc2Ni
1.0
2.709 -3.978 0.000
2.709 3.978 0.000
0.000 0.000 2.880
Zr Tc Ni
1 2 1
Cartesian
0.000 0.000 0.000
1.354 1.989 1.440
1.354 -1.989 1.440
2.709 0.000 0.000
```


Entry 3:
A plane-wave DFT calculation with PBE was carried out for a geometry-optimized ZrTcNi structure.

## Properties
Crystal system   cubic
Formation energy from the elements   68 kJ/mol of formula units
Space group   F-43m, No. 216

```
ZrTcNi
1.0
0.000 2.976 2.976
2.976 0.000 2.976
2.976 2.976 0.000
Zr Tc Ni
1 1 1
Cartesian
0.000 0.000 0.000
2.976 2.976 2.976
1.488 1.488 1.488
```


Entry 4:
A plane-wave DFT calculation with PBE was carried out for a geometry-optimized ZrTc2Ni structure.

## Properties
Crystal system   monoclinic
Formation energy from the elements   19 kJ/mol of formula units
Space group   P2/m, No. 10

```
ZrTc2Ni
1.0
3.038 0.000 0.000
0.000 4.619 0.000
-0.506 0.000 4.507
Zr Tc Ni
1 2 1
Cartesian
0.000 0.000 0.000
0.584 2.309 3.357
1.947 2.309 1.150
1.266 0.000 2.254
```


Entry 5:
A plane-wave DFT calculation with PBE was carried out for a geometry-optimized Zr4TcNi structure.

## Properties
Crystal system   cubic
Formation energy from the elements   414 kJ/mol of formula units
Space group   F-43m, No. 216

```
Zr4TcNi
1.0
0.000 3.927 3.927
3.927 0.000 3.927
3.927 3.927 0.000
Zr Tc Ni
4 1 1
Cartesian
2.951 2.951 2.951
4.904 4.904 2.951
4.904 2.951 4.904
2.951 4.904 4.904
5.891 5.891 5.891
0.000 0.000 0.000
```


Entry 6:
A plane-wave DFT calculation with PBE was carried out for a geometry-optimized ZrTcNi structure.

## Properties
Crystal system   cubic
Formation energy from the elements   222 kJ/mol of formula units
Space group   F-43m, No. 216

```
ZrTcNi
1.0
0.000 3.038 3.038
3.038 0.000 3.038
3.038 3.038 0.000
Zr Tc Ni
1 1 1
Cartesian
0.000 0.000 0.000
1.519 1.519 1.519
4.556 4.556 4.556
```